[1]
# CeCd3Pd | Alexandria | PBE-GGA | optimized geometry
data_CeCd3Pd
_cell_length_a 5.5052
_cell_length_b 5.5052
_cell_length_c 10.1148
_cell_angle_alpha 105.79
_cell_angle_beta 105.79
_cell_angle_gamma 90.00
_symmetry_space_group_name_H-M 'P 1'
_symmetry_Int_Tables_number 1
loop_
_symmetry_equiv_pos_as_xyz
'x,y,z'
loop_
_atom_site_label
_atom_site_fract_x
_atom_site_fract_y
_atom_site_fract_z
Ce1 0.5532 0.0532 0.1065
Ce2 0.9468 0.4468 0.8935
Cd1 0.6196 0.8730 0.7461
Cd2 0.1270 0.8735 0.2539
Cd3 0.1270 0.3804 0.2539
Cd4 0.1265 0.8730 0.7461
Cd5 0.2899 0.2899 0.5799
Cd6 0.7101 0.7101 0.4201
Pd1 0.0000 0.0000 0.0000
Pd2 0.2500 0.7500 0.5000
# Space group: I-4m2

[2]
# Ce2CdPd8 | Alexandria | PBE-GGA | optimized geometry
data_Ce2CdPd8
_cell_length_a 4.7602
_cell_length_b 6.0377
_cell_length_c 8.1081
_cell_angle_alpha 111.87
_cell_angle_beta 107.07
_cell_angle_gamma 90.00
_symmetry_space_group_name_H-M 'P 1'
_symmetry_Int_Tables_number 1
loop_
_symmetry_equiv_pos_as_xyz
'x,y,z'
loop_
_atom_site_label
_atom_site_fract_x
_atom_site_fract_y
_atom_site_fract_z
Ce1 0.8196 0.3196 0.6393
Ce2 0.1804 0.6804 0.3607
Cd1 0.5000 0.0000 0.0000
Pd1 0.3533 0.5895 0.7066
Pd2 0.6467 0.8829 0.2934
Pd3 0.8236 0.8235 0.6471
Pd4 0.0000 0.2564 0.0000
Pd5 0.1764 0.1765 0.3529
Pd6 0.3533 0.1171 0.7066
Pd7 0.6467 0.4105 0.2934
Pd8 0.0000 0.7436 0.0000
# Space group: Immm

[3]
# Ce2Cd2Pd3 | Alexandria | PBE-GGA | optimized geometry
data_Ce2Cd2Pd3
_cell_length_a 4.1643
_cell_length_b 6.5158
_cell_length_c 6.7303
_cell_angle_alpha 110.94
_cell_angle_beta 108.02
_cell_angle_gamma 90.00
_symmetry_space_group_name_H-M 'P 1'
_symmetry_Int_Tables_number 1
loop_
_symmetry_equiv_pos_as_xyz
'x,y,z'
loop_
_atom_site_label
_atom_site_fract_x
_atom_site_fract_y
_atom_site_fract_z
Ce1 0.6254 0.8047 0.2508
Ce2 0.3746 0.1953 0.7492
Cd1 0.8977 0.8014 0.7955
Cd2 0.1023 0.1986 0.2045
Pd1 0.0000 0.5000 0.0000
Pd2 0.2416 0.6631 0.4831
Pd3 0.7584 0.3369 0.5169
# Space group: C2/m

[4]
# Ce2CdPd4 | Alexandria | PBE-GGA | optimized geometry
data_Ce2CdPd4
_cell_length_a 5.2657
_cell_length_b 5.2657
_cell_length_c 7.0670
_cell_angle_alpha 102.30
_cell_angle_beta 102.30
_cell_angle_gamma 64.66
_symmetry_space_group_name_H-M 'P 1'
_symmetry_Int_Tables_number 1
loop_
_symmetry_equiv_pos_as_xyz
'x,y,z'
loop_
_atom_site_label
_atom_site_fract_x
_atom_site_fract_y
_atom_site_fract_z
Ce1 0.5972 0.5972 0.2714
Ce2 0.4028 0.4028 0.7286
Cd1 0.0000 0.0000 0.0000
Pd1 0.7334 0.7334 0.6572
Pd2 0.2666 0.2666 0.3428
Pd3 0.0000 0.5000 0.0000
Pd4 0.5000 0.0000 0.0000
# Space group: C2/m

[5]
# CeCd2Pd6 | Alexandria | PBE-GGA | optimized geometry
data_CeCd2Pd6
_cell_length_a 3.4459
_cell_length_b 7.5758
_cell_length_c 7.5757
_cell_angle_alpha 122.82
_cell_angle_beta 90.00
_cell_angle_gamma 90.00
_symmetry_space_group_name_H-M 'P 1'
_symmetry_Int_Tables_number 1
loop_
_symmetry_equiv_pos_as_xyz
'x,y,z'
loop_
_atom_site_label
_atom_site_fract_x
_atom_site_fract_y
_atom_site_fract_z
Ce1 0.5000 0.1294 0.1294
Cd1 0.0000 0.5994 0.2907
Cd2 0.0000 0.2907 0.5994
Pd1 0.5000 0.5228 0.5228
Pd2 0.5000 0.5668 0.9496
Pd3 0.5000 0.9496 0.5668
Pd4 0.0000 0.8126 0.8126
Pd5 0.0000 0.2206 0.9081
Pd6 0.0000 0.9081 0.2206
# Space group: Amm2

[6]
# Ce2Cd2Pd15 | Alexandria | PBE-GGA | optimized geometry
data_Ce2Cd2Pd15
_cell_length_a 7.0402
_cell_length_b 7.0402
_cell_length_c 7.0402
_cell_angle_alpha 81.33
_cell_angle_beta 81.33
_cell_angle_gamma 81.33
_symmetry_space_group_name_H-M 'P 1'
_symmetry_Int_Tables_number 1
loop_
_symmetry_equiv_pos_as_xyz
'x,y,z'
loop_
_atom_site_label
_atom_site_fract_x
_atom_site_fract_y
_atom_site_fract_z
Ce1 0.3500 0.3500 0.3500
Ce2 0.6500 0.6500 0.6500
Cd1 0.0991 0.0991 0.0991
Cd2 0.9009 0.9009 0.9009
Pd1 0.5000 0.0000 0.0000
Pd2 0.0000 0.0000 0.5000
Pd3 0.0000 0.5000 0.0000
Pd4 0.0000 0.6880 0.3120
Pd5 0.6880 0.3120 0.0000
Pd6 0.3120 0.0000 0.6880
Pd7 0.3120 0.6880 0.0000
Pd8 0.6880 0.0000 0.3120
Pd9 0.0000 0.3120 0.6880
Pd10 0.1607 0.6521 0.6521
Pd11 0.6521 0.6521 0.1607
Pd12 0.6521 0.1607 0.6521
Pd13 0.8393 0.3479 0.3479
Pd14 0.3479 0.3479 0.8393
Pd15 0.3479 0.8393 0.3479
# Space group: R-3m

Number 1: DOS(E_F) 1.93 states/eV/atom, magnetic moment 1.31 μB/f.u., E_form -0.062 eV/atom. Number 2: DOS(E_F) 0.78 states/eV/atom, magnetic moment 0.55 μB/f.u., E_form -0.495 eV/atom. Number 3: DOS(E_F) 1.93 states/eV/atom, magnetic moment 1.69 μB/f.u., E_form -0.470 eV/atom. Number 4: DOS(E_F) 2.01 states/eV/atom, magnetic moment 1.75 μB/f.u., E_form -0.382 eV/atom. Number 5: DOS(E_F) 0.60 states/eV/atom, magnetic moment 0.24 μB/f.u., E_form -0.330 eV/atom. Number 6: DOS(E_F) 1.40 states/eV/atom, magnetic moment 1.04 μB/f.u., E_form -0.375 eV/atom.